1.
An optimized crystal structure of Y2GaF. Source: Alexandria via LeMat-Bulk, functional PBE.

As for the total energy: -64.36 eV for the cell shown. The value obtained for the relative energy among the computed polymorphs is 26.5 kJ/mol of atoms. As for the spin magnetization: 0.00 μB/f.u.

The space group is R-3m (No. 166, hexagonal axes) and the conventional cell measures 3.3691, 3.3691 and 28.6149 Å, with angles of 90.00, 90.00 and 120.00 degrees. Symmetry generates all atoms from Y at (0.0000, 0.0000, 0.1034), Ga at (0.0000, 0.0000, 0.0000) and F at (0.0000, 0.0000, 0.5000).



2.
An optimized crystal structure of HfTl2Ag. Source: Alexandria via LeMat-Bulk, functional PBE.

As for the total energy: -65.01 eV for the cell shown. The value obtained for the relative energy among the computed polymorphs is 16.1 kJ/mol of atoms. As for the spin magnetization: 0.00 μB/f.u.

The space group is Fm-3m (No. 225) and the conventional cell measures 7.135, 7.135 and 7.135 Å, with angles of 90.00, 90.00 and 90.00 degrees. Symmetry generates all atoms from Hf at (0.000, 0.000, 0.000), Tl at (0.250, 0.250, 0.250) and Ag at (0.000, 0.000, 0.500).



> What is the formula in the first record?

Y2GaF



> Among the records above, which one has the highest relative energy among the computed polymorphs?

Y2GaF



> Which formula does entry 1 have?

Y2GaF